{"formula": "Co2H2Ir", "functional": "PBE", "state": "optimized geometry", "lattice_angstrom": [[2.6964, 0.0000, 0.0000], [0.0000, 2.6964, 0.0000], [1.3482, 1.3482, 5.6635]], "species": ["H", "H", "Ir", "Co", "Co"], "frac_coords": [[0.7500, 0.2500, 0.5000], [0.2500, 0.7500, 0.5000], [0.0000, 0.0000, 0.0000], [0.3433, 0.3433, 0.3134], [0.6567, 0.6567, 0.6866]], "relative_energy_kj_per_mol_atoms": 0.0, "magnetic_moment_mub_per_fu": 1.99, "spacegroup": "No. 139"}



{"formula": "CoH2Ir2", "functional": "PBE", "state": "optimized geometry", "lattice_angstrom": [[3.8681, 0.0000, 0.0000], [0.0000, 3.8681, 0.0000], [1.9341, 1.9341, 3.2986]], "species": ["H", "H", "Ir", "Ir", "Co"], "frac_coords": [[0.3047, 0.3047, 0.3906], [0.6953, 0.6953, 0.6094], [0.7500, 0.2500, 0.5000], [0.2500, 0.7500, 0.5000], [0.0000, 0.0000, 0.0000]], "relative_energy_kj_per_mol_atoms": 14.9, "magnetic_moment_mub_per_fu": 0.00, "spacegroup": "No. 139"}